YAg4Pd: relaxed, PBE-GGA.

```
YAg4Pd
1.0
0.0000 3.8777 3.8777
3.8777 0.0000 3.8777
3.8777 3.8777 0.0000
Y Ag Pd
1 4 1
direct
0.0000 0.0000 0.0000
0.1261 0.6246 0.6246
0.6246 0.1261 0.6246
0.6246 0.6246 0.1261
0.6246 0.6246 0.6246
0.2500 0.2500 0.2500
```

calculated total energy = -4.04 eV per atom
symmetry = F-43m

=====

BiIr3Os: relaxed, PBE-GGA.

```
BiIr3Os
1.0
4.9049 0.0000 0.0000
0.0000 4.9049 0.0000
0.0000 0.0000 4.9049
Bi Ir Os
1 3 1
direct
0.0000 0.0000 0.0000
0.0000 0.0000 0.5000
0.0000 0.5000 0.0000
0.5000 0.0000 0.0000
0.5000 0.5000 0.5000
```

energy relative to the lowest polymorph listed for this composition = 7.21 eV per formula unit
symmetry = Pm-3m

=====

YPbAu2: relaxed, PBE-GGA.

```
YPbAu2
1.0
3.3156 -3.3364 0.0000
3.3156 3.3364 0.0000
-0.0134 0.0000 4.1728
Y Pb Au
1 1 2
direct
0.0000 0.0000 0.0000
0.5000 0.5000 0.0000
0.0000 0.5000 0.5000
0.5000 0.0000 0.5000
```

calculated total energy = -4.69 eV per atom
symmetry = C2/m

=====

Ir2RhCl: relaxed, PBE-GGA.

```
Ir2RhCl
1.0
3.6405 0.0000 0.0000
0.0000 3.6405 0.0000
0.0000 0.0000 4.8817
Ir Rh Cl
2 1 1
direct
0.0000 0.5000 0.0000
0.5000 0.0000 0.0000
0.0000 0.0000 0.5000
0.5000 0.5000 0.5000
```

energy relative to the lowest polymorph listed for this composition = 3.03 eV per formula unit
formation energy without anion corrections = 1.1276 eV per atom
symmetry = P4/mmm

=====

CsCo2Br6: relaxed, PBE-GGA.

```
CsCo2Br6
1.0
7.5971 -7.2375 0.0000
7.5971 7.2375 0.0000
-3.5050 0.0000 6.7041
Cs Co Br
2 4 12
direct
0.1858 0.8142 0.7500
0.8142 0.1858 0.2500
0.2322 0.3114 0.6992
0.3114 0.2322 0.1992
0.6886 0.7678 0.8008
0.7678 0.6886 0.3008
0.0568 0.4488 0.7329
0.0844 0.1720 0.0149
0.1720 0.0844 0.5149
0.3461 0.3983 0.5240
0.3983 0.3461 0.0240
0.4488 0.0568 0.2329
0.5512 0.9432 0.7671
0.6017 0.6539 0.9760
0.6539 0.6017 0.4760
0.8280 0.9156 0.4851
0.9156 0.8280 0.9851
0.9432 0.5512 0.2671
```

formation energy without anion corrections = -0.6324 eV per atom
symmetry = C2/c

=====

Ti2CuNiPd2: relaxed, PBE-GGA.

```
Ti2CuNiPd2
1.0
-2.6400 6.5343 2.5954
2.6400 -6.5343 2.5954
2.6400 6.5343 -2.5954
Ti Cu Ni Pd
4 2 2 4
direct
0.1562 0.2021 0.3582
0.3438 0.7021 0.0459
0.6562 0.2979 0.9541
0.8438 0.7979 0.6418
0.2500 0.7500 0.5000
0.7500 0.2500 0.5000
0.2500 0.2500 0.0000
0.7500 0.7500 0.0000
0.1471 0.7133 0.8604
0.3529 0.2133 0.5662
0.6471 0.7867 0.4338
0.8529 0.2867 0.1396
```

calculated total energy = -6.29 eV per atom
symmetry = Ibam